No. 1
## CsLaCoCl6 (PBE)

Data for a relaxed CsLaCoCl6 crystal.

Lattice parameters (Å, degrees): 6.924 6.903 7.763 90.15 90.08 60.10
Fractional coordinates of all 9 atoms:
La1 0.332 0.334 0.500
Cl1 0.965 0.396 0.306
Cl2 0.645 0.389 0.689
Cl3 0.645 0.965 0.311
Cl4 0.391 0.964 0.690
Cl5 0.965 0.639 0.694
Cl6 0.391 0.645 0.310
Co1 0.666 0.667 0.500
Cs1 0.000 0.000 0.000

- Symmetry: C2, No. 5
- Formation energy without anion corrections: -1679 meV per atom
- Total magnetization: 0.33 μB/atom
- Calculated total energy: -4.342 eV per atom

=====

No. 2
## AlGa6Pt (PBE)

Data for a relaxed AlGa6Pt crystal.

Lattice parameters (Å, degrees): 5.325 5.325 5.961 100.96 100.96 102.04
Fractional coordinates of all 8 atoms:
Ga1 0.200 0.620 0.186
Ga2 0.620 0.200 0.186
Ga3 0.380 0.800 0.814
Ga4 0.187 0.187 0.646
Ga5 0.800 0.380 0.814
Ga6 0.813 0.813 0.354
Al1 0.000 0.000 0.000
Pt1 0.500 0.500 0.500

- Symmetry: C2/m, No. 12
- Total magnetization: 0.00 μB/atom
- Calculated total energy: -3.598 eV per atom
- Energy of formation: -105 meV per atom

=====

No. 3
## Pm2GdSn (PBE)

Data for a relaxed Pm2GdSn crystal.

Lattice parameters (Å, degrees): 3.519 3.519 12.121 81.65 81.65 60.00
Fractional coordinates of all 4 atoms:
Gd1 0.000 0.000 0.000
Pm1 0.094 0.094 0.719
Pm2 0.906 0.906 0.281
Sn1 0.500 0.500 0.500

- ΔE to the lowest computed polymorph: 423 meV per atom
- Symmetry: R-3m, No. 166
- Total magnetization: 2.01 μB/atom
- Calculated total energy: -6.927 eV per atom
- Energy of formation: -31 meV per atom